# Na3Tb2CoO6

An optimized crystal structure of Na3Tb2CoO6 (GGA+U, Alexandria via LeMat-Bulk).

abc: 5.7479 9.9074 5.8767
angles: 90.00 108.60 90.00
Space group C2/m (No. 12)
One atom of each set of equivalent atoms:
Na1 0.0000 0.0000 0.0000 (multiplicity 2)
Na2 0.0000 0.3474 0.0000 (multiplicity 4)
Tb1 0.0000 0.1666 0.5000 (multiplicity 4)
Co1 0.0000 0.5000 0.5000 (multiplicity 2)
O1 0.2213 0.3474 0.7075 (multiplicity 8)
O2 0.2496 0.0000 0.7112 (multiplicity 4)

Crystal system: monoclinic
VASP energy in eV/atom: -6.202